a.
Compound: Li3TiP2O8
Source: the Alexandria database
Functional: PBEsol
Structure: optimized geometry

Cell lengths 4.9234, 4.9234, 6.1242 Å; angles 90.41, 90.41, 67.01 degrees
Closest atoms and distances in Å follow each position.
Atoms (fractional coordinates):
O 0.7562 0.7562 0.9396  1 P 1.51
O 0.7612 0.3042 0.7319  1 P 1.57
O 0.2443 0.2443 0.4718  1 P 1.55
O 0.7557 0.7557 0.5282  1 P 1.55
O 0.2438 0.2438 0.0604  1 P 1.51
O 0.3042 0.7612 0.7319  1 P 1.57
O 0.2388 0.6958 0.2681  1 P 1.57
O 0.6958 0.2388 0.2681  1 P 1.57
Li 0.3302 0.3302 0.7736  4 O 1.90-2.09
Li 0.0000 0.0000 0.0000  6 O 2.03-2.23
Li 0.6698 0.6698 0.2264  4 O 1.90-2.09
Ti 0.0000 0.0000 0.5000  6 O 2.01-2.06
P 0.6501 0.6501 0.7373  4 O 1.51-1.57
P 0.3499 0.3499 0.2627  4 O 1.51-1.57

Spin magnetization (μB/cell): 1.00
Space group: No. 12
Crystal system: monoclinic


b.
Compound: Li3TiP2O8
Source: the Alexandria database
Functional: PBEsol
Structure: optimized geometry

Cell lengths 4.5873, 5.1053, 13.6019 Å; angles 97.98, 90.00, 116.70 degrees
Closest atoms and distances in Å follow each position.
Atoms (fractional coordinates):
Ti 0.0000 0.0000 0.0000  4 O 1.91-2.09
Ti 0.0000 0.0000 0.5000  4 O 1.91-2.09
Li 0.9523 0.0000 0.7500  4 O 1.99-2.02
Li 0.2949 0.6602 0.8377  4 O 1.97-2.11
Li 0.6346 0.3398 0.6623  4 O 1.97-2.11
Li 0.3654 0.6602 0.3377  4 O 1.97-2.11
Li 0.0477 0.0000 0.2500  4 O 1.99-2.02
Li 0.7051 0.3398 0.1623  4 O 1.97-2.11
O 0.4358 0.2245 0.4647  1 P 1.55
O 0.5036 0.6780 0.7107  1 P 1.54
O 0.0237 0.3828 0.5865  1 P 1.54
O 0.7330 0.9339 0.1348  1 P 1.57
O 0.4964 0.3220 0.2893  1 P 1.54
O 0.1744 0.6780 0.2107  1 P 1.54
O 0.5642 0.7755 0.5353  1 P 1.55
O 0.2670 0.0661 0.8652  1 P 1.57
O 0.8256 0.3220 0.7893  1 P 1.54
O 0.3592 0.3828 0.0865  1 P 1.54
O 0.7887 0.2245 0.9647  1 P 1.55
O 0.9763 0.6172 0.4135  1 P 1.54
O 0.2009 0.9339 0.6348  1 P 1.57
O 0.2113 0.7755 0.0353  1 P 1.55
O 0.6408 0.6172 0.9135  1 P 1.54
O 0.7991 0.0661 0.3652  1 P 1.57
P 0.6317 0.3115 0.8826  4 O 1.54-1.57
P 0.3202 0.6885 0.6174  4 O 1.54-1.57
P 0.3683 0.6885 0.1174  4 O 1.54-1.57
P 0.6798 0.3115 0.3826  4 O 1.54-1.57

Spin magnetization (μB/cell): 2.00
Space group: No. 15
Crystal system: monoclinic


How do the energies compare? Relative to the most stable structure, in meV per atom: a 0; b 5.


a.
Compound: LiTi2P3O12
Source: the Alexandria database
Functional: PBEsol
Structure: optimized geometry

Cell lengths 8.5781, 8.6413, 11.9099 Å; angles 90.00, 90.00, 89.97 degrees
Closest atoms and distances in Å follow each position.
Atoms (fractional coordinates):
P 0.0346 0.7472 0.0016  4 O 1.53-1.54
P 0.8939 0.3885 0.6465  4 O 1.53-1.55
P 0.1061 0.6115 0.3535  4 O 1.53-1.55
P 0.3939 0.3885 0.8535  4 O 1.53-1.55
P 0.4654 0.2528 0.5016  4 O 1.53-1.54
P 0.5346 0.7472 0.4984  4 O 1.53-1.54
P 0.1028 0.8924 0.6446  4 O 1.53-1.54
P 0.9654 0.2528 0.9984  4 O 1.53-1.54
P 0.8972 0.1076 0.3554  4 O 1.53-1.54
P 0.6028 0.8924 0.8554  4 O 1.53-1.54
P 0.6061 0.6115 0.1465  4 O 1.53-1.55
P 0.3972 0.1076 0.1446  4 O 1.53-1.54
O 0.1784 0.4991 0.2680  1 P 1.54
O 0.5748 0.0972 0.1536  1 P 1.53
O 0.9270 0.6010 0.3481  1 P 1.54
O 0.0575 0.3623 0.0752  1 P 1.54
O 0.3451 0.2734 0.1720  1 P 1.54
O 0.6539 0.6607 0.4257  1 P 1.54
O 0.6269 0.8591 0.5743  1 P 1.54
O 0.9255 0.8367 0.0796  1 P 1.53
O 0.6549 0.7266 0.8280  1 P 1.54
O 0.6588 0.9367 0.9739  1 P 1.54
O 0.5730 0.3990 0.8481  1 P 1.54
O 0.9252 0.9028 0.6536  1 P 1.53
O 0.8346 0.4275 0.5285  1 P 1.53
O 0.6523 0.7786 0.1798  1 P 1.55
O 0.0748 0.0972 0.3464  1 P 1.53
O 0.0730 0.3990 0.6519  1 P 1.54
O 0.9425 0.6377 0.9248  1 P 1.54
O 0.5745 0.1633 0.5796  1 P 1.53
O 0.8412 0.0633 0.4739  1 P 1.54
O 0.4255 0.8367 0.4204  1 P 1.53
O 0.3216 0.5009 0.7680  1 P 1.54
O 0.3477 0.2214 0.8202  1 P 1.55
O 0.6784 0.4991 0.2320  1 P 1.54
O 0.3346 0.4275 0.9715  1 P 1.53
O 0.4252 0.9028 0.8464  1 P 1.53
O 0.6772 0.0111 0.7746  1 P 1.54
O 0.1523 0.7786 0.3202  1 P 1.55
O 0.8731 0.1409 0.0743  1 P 1.54
O 0.3228 0.9889 0.2254  1 P 1.54
O 0.3412 0.0633 0.0261  1 P 1.54
O 0.8228 0.9889 0.2746  1 P 1.54
O 0.8461 0.3392 0.9257  1 P 1.54
O 0.6654 0.5725 0.0285  1 P 1.53
O 0.8477 0.2214 0.6798  1 P 1.55
O 0.3461 0.3392 0.5743  1 P 1.54
O 0.4270 0.6010 0.1519  1 P 1.54
O 0.4425 0.6377 0.5752  1 P 1.54
O 0.3731 0.1409 0.4257  1 P 1.54
O 0.1269 0.8591 0.9257  1 P 1.54
O 0.5575 0.3623 0.4248  1 P 1.54
O 0.1772 0.0111 0.7254  1 P 1.54
O 0.1588 0.9367 0.5261  1 P 1.54
O 0.0745 0.1633 0.9204  1 P 1.53
O 0.8216 0.5009 0.7320  1 P 1.54
O 0.1654 0.5725 0.4715  1 P 1.53
O 0.1549 0.7266 0.6720  1 P 1.54
O 0.1539 0.6607 0.0743  1 P 1.54
O 0.8451 0.2734 0.3280  1 P 1.54
Li 0.2849 0.7759 0.1821  4 O 1.94-2.00
Li 0.2151 0.2241 0.6821  4 O 1.94-2.00
Li 0.7849 0.7759 0.3179  4 O 1.94-2.00
Li 0.7151 0.2241 0.8179  4 O 1.94-2.00
Ti 0.7483 0.0292 0.6157  6 O 1.87-2.02
Ti 0.7517 0.9708 0.1157  6 O 1.87-2.02
Ti 0.7522 0.5439 0.8817  6 O 1.89-2.02
Ti 0.2483 0.0292 0.8843  6 O 1.87-2.02
Ti 0.2517 0.9708 0.3843  6 O 1.87-2.02
Ti 0.2522 0.5439 0.6183  6 O 1.89-2.02
Ti 0.2478 0.4561 0.1183  6 O 1.89-2.02
Ti 0.7478 0.4561 0.3817  6 O 1.89-2.02

Spin magnetization (μB/cell): 0.00
Space group: No. 14
Crystal system: monoclinic


b.
Compound: LiTi2P3O12
Source: the Alexandria database
Functional: PBEsol
Structure: optimized geometry

Cell lengths 8.5767, 8.6329, 11.9510 Å; angles 90.00, 90.00, 90.00 degrees
Closest atoms and distances in Å follow each position.
Atoms (fractional coordinates):
O 0.5736 0.2489 0.2307  1 P 1.53
O 0.5884 0.3093 0.0274  1 P 1.52
O 0.6012 0.5288 0.1670  1 P 1.54
O 0.9115 0.0222 0.1801  1 P 1.55
O 0.0701 0.2384 0.2736  1 P 1.55
O 0.3988 0.0288 0.3330  1 P 1.54
O 0.9118 0.1791 0.9722  1 P 1.55
O 0.8968 0.9074 0.4222  1 P 1.56
O 0.4264 0.7489 0.2693  1 P 1.53
O 0.9299 0.7384 0.2264  1 P 1.55
O 0.3120 0.3947 0.9253  1 P 1.52
O 0.8164 0.6029 0.4260  1 P 1.55
O 0.1836 0.8971 0.9260  1 P 1.55
O 0.6880 0.1053 0.4253  1 P 1.52
O 0.9115 0.9778 0.8199  1 P 1.55
O 0.5736 0.7511 0.7693  1 P 1.53
O 0.4116 0.8093 0.4726  1 P 1.52
O 0.6102 0.4012 0.4235  1 P 1.51
O 0.0701 0.7616 0.7264  1 P 1.55
O 0.6781 0.8494 0.1549  1 P 1.51
O 0.0885 0.5222 0.3199  1 P 1.55
O 0.3898 0.0988 0.9235  1 P 1.51
O 0.6880 0.8947 0.5747  1 P 1.52
O 0.1836 0.1029 0.0740  1 P 1.55
O 0.8249 0.6514 0.8485  1 P 1.56
O 0.8249 0.3486 0.1515  1 P 1.56
O 0.3120 0.6053 0.0747  1 P 1.52
O 0.6012 0.4712 0.8330  1 P 1.54
O 0.1751 0.8486 0.3485  1 P 1.56
O 0.3988 0.9712 0.6670  1 P 1.54
O 0.8164 0.3971 0.5740  1 P 1.55
O 0.8968 0.0926 0.5778  1 P 1.56
O 0.0882 0.3209 0.4722  1 P 1.55
O 0.4264 0.2511 0.7307  1 P 1.53
O 0.9299 0.2616 0.7736  1 P 1.55
O 0.1032 0.5926 0.9222  1 P 1.56
O 0.1032 0.4074 0.0778  1 P 1.56
O 0.6102 0.5988 0.5765  1 P 1.51
O 0.9118 0.8209 0.0278  1 P 1.55
O 0.0882 0.6791 0.5278  1 P 1.55
O 0.3219 0.3494 0.3451  1 P 1.51
O 0.6781 0.1506 0.8451  1 P 1.51
O 0.3898 0.9012 0.0765  1 P 1.51
O 0.1751 0.1514 0.6515  1 P 1.56
O 0.3219 0.6506 0.6549  1 P 1.51
O 0.4116 0.1907 0.5274  1 P 1.52
O 0.0885 0.4778 0.6801  1 P 1.55
O 0.5884 0.6907 0.9726  1 P 1.52
Li 0.9621 0.4729 0.8198  4 O 1.93-2.01
Li 0.0379 0.0271 0.3198  4 O 1.93-2.01
Li 0.0379 0.9729 0.6802  4 O 1.93-2.01
Li 0.9621 0.5271 0.1802  4 O 1.93-2.01
P 0.7837 0.0000 0.5000  4 O 1.52-1.56
P 0.2900 0.0000 0.0000  4 O 1.51-1.55
P 0.7100 0.5000 0.5000  4 O 1.51-1.55
P 0.1462 0.3587 0.3526  4 O 1.51-1.55
P 0.3564 0.1413 0.6433  4 O 1.52-1.56
P 0.6436 0.6413 0.8567  4 O 1.52-1.56
P 0.6436 0.3587 0.1433  4 O 1.52-1.56
P 0.8538 0.1413 0.8526  4 O 1.51-1.55
P 0.8538 0.8587 0.1474  4 O 1.51-1.55
P 0.1462 0.6413 0.6474  4 O 1.51-1.55
P 0.2163 0.5000 0.0000  4 O 1.52-1.56
P 0.3564 0.8587 0.3567  4 O 1.52-1.56
Ti 0.4995 0.2825 0.8793  6 O 1.90-1.96
Ti 0.0027 0.7886 0.8875  6 O 1.87-2.02
Ti 0.5005 0.2175 0.3793  6 O 1.90-1.96
Ti 0.9973 0.2886 0.6125  6 O 1.87-2.02
Ti 0.4995 0.7175 0.1207  6 O 1.90-1.96
Ti 0.9973 0.7114 0.3875  6 O 1.87-2.02
Ti 0.5005 0.7825 0.6207  6 O 1.90-1.96
Ti 0.0027 0.2114 0.1125  6 O 1.87-2.02

Spin magnetization (μB/cell): 0.00
Space group: No. 18
Crystal system: orthorhombic


How do the energies compare? Relative to the most stable structure, in meV per atom: a 0; b 7.